(1)
Material: TcS2
Method: DFT, PBE
State: optimized geometry

a = 3.2854 Å, b = 3.2854 Å, c = 24.5847 Å
α = 90.00°, β = 90.00°, γ = 120.00°
With the nearest neighbours (Å) after each atom.
Fractional positions:
Tc  0.3333  0.6667  0.0000  6 S 2.39
Tc  0.3333  0.6667  0.2534  6 S 2.39
Tc  0.6667  0.3333  0.5000  6 S 2.39
Tc  0.6667  0.3333  0.7534  6 S 2.39
S  0.0000  0.0000  0.1945  3 Tc 2.39
S  0.0000  0.0000  0.3124  3 Tc 2.39
S  0.0000  0.0000  0.6945  3 Tc 2.39
S  0.0000  0.0000  0.8124  3 Tc 2.39
S  0.3333  0.6667  0.4410  3 Tc 2.39
S  0.3333  0.6667  0.5590  3 Tc 2.39
S  0.6667  0.3333  0.0590  3 Tc 2.39
S  0.6667  0.3333  0.9410  3 Tc 2.39

Calculated values
* polymorph energy (0 for the lowest one): 0.1449 eV/atom
* spin magnetization: 0.010 μB per cell


(2)
Material: TcS2
Method: DFT, PBE
State: optimized geometry

a = 4.9728 Å, b = 4.9728 Å, c = 4.9728 Å
α = 60.00°, β = 60.00°, γ = 60.00°
With the nearest neighbours (Å) after each atom.
Fractional positions:
Tc  0.1250  0.1250  0.1250  12 S 2.92, 4 Tc 3.05
Tc  0.8750  0.8750  0.8750  12 S 2.92, 4 Tc 3.05
S  0.0000  0.5000  0.5000  6 S 2.49
S  0.5000  0.0000  0.5000  6 S 2.49
S  0.5000  0.5000  0.0000  6 S 2.49
S  0.5000  0.5000  0.5000  6 S 2.49

Calculated values
* polymorph energy (0 for the lowest one): 2.0555 eV/atom
* spin magnetization: 0.095 μB per cell


(3)
Material: TcS2
Method: DFT, PBE
State: optimized geometry

a = 5.5907 Å, b = 5.5907 Å, c = 3.4789 Å
α = 90.00°, β = 90.00°, γ = 90.00°
With the nearest neighbours (Å) after each atom.
Fractional positions:
Tc  0.0000  0.0000  0.0000  6 S 2.35-2.37
Tc  0.5000  0.5000  0.5000  6 S 2.35-2.37
S  0.2031  0.2031  0.5000  3 Tc 2.35-2.37
S  0.2969  0.7031  0.0000  3 Tc 2.35-2.37
S  0.7031  0.2969  0.0000  3 Tc 2.35-2.37
S  0.7969  0.7969  0.5000  3 Tc 2.35-2.37

Calculated values
* polymorph energy (0 for the lowest one): 0.2808 eV/atom
* spin magnetization: 1.026 μB per cell


(4)
Material: TlTcS
Method: DFT, PBE
State: optimized geometry

a = 6.6780 Å, b = 3.1396 Å, c = 6.7337 Å
α = 90.00°, β = 111.63°, γ = 90.00°
With the nearest neighbours (Å) after each atom.
Fractional positions:
Tl  0.0000  0.0000  0.0000  3 Tc 2.80-2.90
Tl  0.0078  0.5000  0.5087  3 Tc 2.85-2.98, 2 Tl 3.14, 1 S 3.17
Tc  0.3389  0.0000  0.8502  3 S 2.33-2.34
Tc  0.6802  0.5000  0.0927  3 S 2.31-2.34
S  0.5070  0.0000  0.2232  3 Tc 2.31-2.34
S  0.5182  0.5000  0.7200  3 Tc 2.33-2.34

Calculated values
* spin magnetization: 0.003 μB per cell
* energy: -35.1 eV/cell


(5)
Material: Tl2TcS3
Method: DFT, PBE
State: optimized geometry

a = 7.6432 Å, b = 3.6451 Å, c = 10.2192 Å
α = 90.00°, β = 97.84°, γ = 90.00°
With the nearest neighbours (Å) after each atom.
Fractional positions:
Tl  0.0717  0.2500  0.1581  4 S 2.96-3.16
Tl  0.2532  0.7500  0.5042  3 S 2.92-2.95
Tl  0.7468  0.2500  0.4958  3 S 2.92-2.95
Tl  0.9283  0.7500  0.8419  4 S 2.96-3.16
Tc  0.4195  0.2500  0.8427  6 S 2.37-2.48
Tc  0.5805  0.7500  0.1573  6 S 2.37-2.48
S  0.1453  0.2500  0.7018  1 Tc 2.37
S  0.3242  0.7500  0.9812  3 Tc 2.47-2.48
S  0.4562  0.2500  0.2740  2 Tc 2.44
S  0.5438  0.7500  0.7260  2 Tc 2.44
S  0.6758  0.2500  0.0188  3 Tc 2.47-2.48
S  0.8547  0.7500  0.2982  1 Tc 2.37

Calculated values
* spin magnetization: 3.935 μB per cell
* energy: -58.4 eV/cell


(6)
Material: ThTeS
Method: DFT, PBE
State: optimized geometry

a = 4.5290 Å, b = 4.5290 Å, c = 7.9485 Å
α = 90.00°, β = 90.00°, γ = 90.00°
With the nearest neighbours (Å) after each atom.
Fractional positions:
Th  0.2500  0.2500  0.2133  4 S 2.83
Th  0.7500  0.7500  0.7867  4 S 2.83
Te  0.2500  0.2500  0.6289  5 Th 3.30-3.44
Te  0.7500  0.7500  0.3711  5 Th 3.30-3.44
S  0.2500  0.7500  0.0000  4 Th 2.83
S  0.7500  0.2500  0.0000  4 Th 2.83

Calculated values
* spin magnetization: 0.011 μB per cell
* energy: -39.4 eV/cell